No. 1
{
  "formula": "Nd2CdGe2Rh5",
  "functional": "PBE",
  "state": "optimized geometry",
  "lattice": [[10.007, 0.000, 0.000], [0.000, 10.007, 0.000], [0.000, 0.000, 3.631]],
  "species": ["Nd", "Nd", "Nd", "Nd", "Cd", "Cd", "Ge", "Ge", "Ge", "Ge", "Rh", "Rh", "Rh", "Rh", "Rh", "Rh", "Rh", "Rh", "Rh", "Rh"],
  "fractional_positions": [[0.175, 0.325, 0.000], [0.325, 0.825, 0.000], [0.675, 0.175, 0.000], [0.825, 0.675, 0.000], [0.000, 0.000, 0.000], [0.500, 0.500, 0.000], [0.123, 0.623, 0.000], [0.377, 0.123, 0.000], [0.623, 0.877, 0.000], [0.877, 0.377, 0.000], [0.000, 0.500, 0.500], [0.067, 0.786, 0.500], [0.214, 0.067, 0.500], [0.286, 0.567, 0.500], [0.433, 0.286, 0.500], [0.500, 0.000, 0.500], [0.567, 0.714, 0.500], [0.714, 0.433, 0.500], [0.786, 0.933, 0.500], [0.933, 0.214, 0.500]],
  "formation_energy_ev_per_fu": -6.786,
  "sg": "No. 127",
  "rho_g_cm3": 9.7
}

---

No. 2
{
  "formula": "PaMnS2",
  "functional": "PBE",
  "state": "optimized geometry",
  "lattice": [[6.308, 0.000, 0.000], [0.000, 7.000, 0.000], [-0.840, 0.000, 6.539]],
  "species": ["Pa", "Pa", "Pa", "Pa", "Mn", "Mn", "Mn", "Mn", "S", "S", "S", "S", "S", "S", "S", "S"],
  "fractional_positions": [[0.209, 0.061, 0.314], [0.209, 0.439, 0.814], [0.791, 0.561, 0.186], [0.791, 0.939, 0.686], [0.439, 0.668, 0.457], [0.439, 0.832, 0.957], [0.561, 0.168, 0.043], [0.561, 0.332, 0.543], [0.086, 0.723, 0.500], [0.086, 0.777, 0.000], [0.397, 0.102, 0.719], [0.397, 0.398, 0.219], [0.603, 0.602, 0.781], [0.603, 0.898, 0.281], [0.914, 0.223, 0.000], [0.914, 0.277, 0.500]],
  "sg": "No. 14",
  "rho_g_cm3": 8.1,
  "e_form_raw_kj_per_mol_fu": -433
}

---

No. 3
{
  "formula": "NaIn2Au",
  "functional": "PBE",
  "state": "optimized geometry",
  "lattice": [[1.743, 1.007, 10.371], [-1.743, 1.007, 10.371], [0.000, -2.013, 10.371]],
  "species": ["Na", "In", "In", "Au"],
  "fractional_positions": [[0.000, 0.000, 0.000], [0.099, 0.099, 0.099], [0.901, 0.901, 0.901], [0.500, 0.500, 0.500]],
  "formation_energy_ev_per_fu": -0.135,
  "sg": "No. 166",
  "rho_g_cm3": 6.8
}

---

Final energy per entry: -6.32, -7.85, -2.55 eV per atom
Calculated volume per entry: 18.181, 18.045, 27.298 Å³/atom